No. 1
A geometry-optimized RbNb3Ag structure. Source: Alexandria via LeMat-Bulk, functional PBE-GGA.

Cell: 5.171 5.171 5.171 Å, 90.00 90.00 90.00°
Last column: magnetic moment on the atom in μB.
Positions (direct):
Nb1 0.000 0.000 0.500  0.76
Ag1 0.000 0.000 0.000  0.07
Nb2 0.000 0.500 0.000  0.74
Nb3 0.500 0.000 0.000  0.77
Rb1 0.500 0.500 0.500  0.05

Properties
Calculated formation energy: 10.2 eV/f.u.
ΔE to the lowest computed polymorph: 0 meV/atom

***

No. 2
A geometry-optimized BaCd4Pd2 structure. Source: Alexandria via LeMat-Bulk, functional PBE-GGA.

Cell: 4.569 8.480 8.480 Å, 90.00 90.00 90.00°
Positions (direct):
Cd1 0.000 0.342 0.090
Cd2 0.000 0.910 0.658
Pd1 0.000 0.777 0.223
Pd2 0.000 0.223 0.777
Cd3 0.500 0.158 0.590
Pd3 0.500 0.723 0.723
Cd4 0.500 0.842 0.410
Cd5 0.500 0.590 0.158
Cd6 0.000 0.090 0.342
Pd4 0.500 0.277 0.277
Ba1 0.000 0.500 0.500
Cd7 0.000 0.658 0.910
Ba2 0.500 0.000 0.000
Cd8 0.500 0.410 0.842

Properties
Calculated formation energy: -3.0 eV/f.u.

***

No. 3
A geometry-optimized Nd3Ho3Hg2 structure. Source: Alexandria via LeMat-Bulk, functional PBE-GGA.

Cell: 5.209 6.463 15.987 Å, 90.00 90.00 113.77°
Positions (direct):
Nd1 0.715 0.430 0.250
Hg1 0.767 0.535 0.625
Nd2 0.960 0.921 0.392
Ho1 0.358 0.717 0.535
Ho2 0.358 0.717 0.965
Nd3 0.285 0.570 0.750
Ho3 0.642 0.283 0.465
Hg2 0.767 0.535 0.875
Nd4 0.960 0.921 0.108
Hg3 0.233 0.465 0.375
Ho4 0.429 0.857 0.250
Nd5 0.040 0.079 0.892
Nd6 0.040 0.079 0.608
Ho5 0.571 0.143 0.750
Hg4 0.233 0.465 0.125
Ho6 0.642 0.283 0.035

Properties
Calculated formation energy: -1.5 eV/f.u.

***

No. 4
A geometry-optimized MoSeCl2 structure. Source: Alexandria via LeMat-Bulk, functional PBE-GGA.

Cell: 4.782 4.782 4.782 Å, 60.00 60.00 60.00°
Last column: magnetic moment on the atom in μB.
Positions (direct):
Se1 0.000 0.000 0.000  -0.67
Mo1 0.500 0.500 0.500  2.89
Cl1 0.250 0.250 0.250  -0.14
Cl2 0.750 0.750 0.750  -0.14

Properties
Raw formation energy: 0.683 eV/atom
ΔE to the lowest computed polymorph: 1248 meV/atom

***

No. 5
A geometry-optimized Sr2TeBrN structure. Source: Alexandria via LeMat-Bulk, functional PBE-GGA.

Cell: 6.260 5.798 6.260 Å, 90.00 90.00 90.00°
Last column: magnetic moment on the atom in μB.
Positions (direct):
Sr1 0.000 0.000 0.500  -0.03
Br1 0.000 0.500 0.000  0.02
Te1 0.000 0.000 0.000  0.01
N1 0.500 0.500 0.500  1.20
Sr2 0.500 0.000 0.000  -0.02

Properties
Raw formation energy: 0.368 eV/atom

***

No. 6
A geometry-optimized TbY2Al structure. Source: Alexandria via LeMat-Bulk, functional PBE-GGA.

Cell: 3.526 3.526 9.040 Å, 90.00 90.00 90.00°
Positions (direct):
Al1 0.500 0.500 0.000
Y1 0.000 0.000 0.213
Tb1 0.500 0.500 0.500
Y2 0.000 0.000 0.787

Properties
Calculated formation energy: -0.8 eV/f.u.
ΔE to the lowest computed polymorph: 5 meV/atom

***

No. 7
A geometry-optimized CuRhSe structure. Source: Alexandria via LeMat-Bulk, functional PBE-GGA.

Cell: 4.198 2.895 4.704 Å, 90.00 102.96 90.00°
Positions (direct):
Cu1 0.396 0.500 0.003
Rh1 0.905 0.000 0.181
Se1 0.990 0.000 0.693

Properties
Raw formation energy: 0.201 eV/atom
ΔE to the lowest computed polymorph: 210 meV/atom

***

No. 8
A geometry-optimized AcRhC2 structure. Source: Alexandria via LeMat-Bulk, functional PBE-GGA.

Cell: 4.009 4.163 4.163 Å, 109.93 90.00 90.00°
Positions (direct):
Rh1 0.500 0.613 0.387
Ac1 0.000 0.989 0.011
C1 0.500 0.165 0.553
C2 0.500 0.447 0.835

Properties
Calculated formation energy: -1.0 eV/f.u.

***

Size of the total moment? In order: 3.0; 0.0; 0.0; 2.0; 1.6; 0.0; 0.0; 0.0 μB/f.u..